DFT (PBE-GGA) results for crystalline SbBr2O2 at its relaxed geometry.

Properties
* symmetry: P4/mbm, No. 127
* volume: 19.99 Å³/atom
* relative energy among the computed polymorphs: 0 meV/atom

Cell: 7.562 7.562 3.495 Å, 90.00 90.00 90.00°
Positions (direct):
Sb 0.000 0.000 0.000
Sb 0.500 0.500 0.000
Br 0.153 0.347 0.000
Br 0.347 0.847 0.000
Br 0.653 0.153 0.000
Br 0.847 0.653 0.000
O 0.180 0.680 0.500
O 0.320 0.180 0.500
O 0.680 0.820 0.500
O 0.820 0.320 0.500



DFT (PBE-GGA) results for crystalline Sb2BrO2 at its relaxed geometry.

Properties
* symmetry: C2/m, No. 12
* volume: 22.27 Å³/atom
* electronic total energy: -4.948 eV/atom

Cell: 4.798 4.798 6.433 Å, 105.52 105.52 51.97°
Positions (direct):
Sb 0.179 0.179 0.159
Sb 0.821 0.821 0.841
Br 0.500 0.500 0.500
O 0.292 0.292 0.922
O 0.708 0.708 0.078



DFT (PBE-GGA) results for crystalline SbBrO2 at its relaxed geometry.

Properties
* symmetry: R-3m, No. 166
* volume: 18.07 Å³/atom
* relative energy among the computed polymorphs: 124 meV/atom

Cell: 6.521 6.521 6.521 Å, 32.78 32.78 32.78°
Positions (direct):
Sb 0.000 0.000 0.000
Br 0.500 0.500 0.500
O 0.387 0.387 0.387
O 0.613 0.613 0.613



Number 1: M_tot 3.8 μB per formula unit. Number 2: M_tot 0.0 μB per formula unit. Number 3: M_tot 0.0 μB per formula unit.